(1)
VASP calculation (PBE) on a geometry-optimized TmZrTc structure.

a b c (Å): 4.607 4.607 4.607
angles (deg): 60.00 60.00 60.00
Fractional coordinates of all 3 atoms:
Tm (0.000, 0.000, 0.000)
Zr (0.750, 0.750, 0.750)
Tc (0.500, 0.500, 0.500)

Values from the calculation:
Density = 8.6 Mg/m³
Distance to the lowest polymorph of the same formula = 0.00 eV per formula unit
Space-group type = F-43m
Energy of formation = 196 kJ/mol of formula units

=====

(2)
VASP calculation (PBE) on a geometry-optimized U2Tc structure.

a b c (Å): 8.267 8.267 8.267
angles (deg): 60.00 60.00 60.00
Fractional coordinates of all 6 atoms:
U (0.000, 0.000, 0.000)
U (0.000, 0.000, 0.500)
U (0.000, 0.500, 0.000)
U (0.500, 0.000, 0.000)
Tc (0.125, 0.125, 0.125)
Tc (0.875, 0.875, 0.875)

Values from the calculation:
Density = 4.8 Mg/m³
Distance to the lowest polymorph of the same formula = 6.48 eV per formula unit
Space-group type = Fd-3m
Energy of formation = 595 kJ/mol of formula units

=====

(3)
VASP calculation (PBE) on a geometry-optimized U2Tc structure.

a b c (Å): 5.487 5.381 3.402
angles (deg): 73.46 70.07 36.47
Fractional coordinates of all 3 atoms:
U (0.179, 0.179, 0.821)
U (0.821, 0.821, 0.179)
Tc (0.500, 0.500, 0.500)

Values from the calculation:
Density = 17.0 Mg/m³
Distance to the lowest polymorph of the same formula = 0.00 eV per formula unit
Space-group type = Fmmm
Energy of formation = -30 kJ/mol of formula units

=====

(4)
VASP calculation (PBE) on a geometry-optimized YUTc structure.

a b c (Å): 4.616 4.616 4.616
angles (deg): 60.00 60.00 60.00
Fractional coordinates of all 3 atoms:
Y (0.000, 0.000, 0.000)
U (0.750, 0.750, 0.750)
Tc (0.500, 0.500, 0.500)

Values from the calculation:
Density = 10.1 Mg/m³
Distance to the lowest polymorph of the same formula = 0.00 eV per formula unit
Space-group type = F-43m
Energy of formation = 292 kJ/mol of formula units